This record from the Alexandria database describes a relaxed structure of Zr2Ni2F. The functional is PBE+U.

Cell and atoms, written as POSCAR:
```
Zr2Ni2F
1.0
7.026 0.000 0.000
0.000 7.026 0.000
0.000 0.000 3.248
Ni Zr F
4 4 2
Direct
0.375 0.875 0.000
0.875 0.625 0.000
0.625 0.125 0.000
0.125 0.375 0.000
0.167 0.667 0.500
0.667 0.833 0.500
0.833 0.333 0.500
0.333 0.167 0.500
0.000 0.000 0.000
0.500 0.500 0.000
```

Calculated values
Symmetry: P4/mbm, No. 127
E above lowest polymorph: 0.0 kJ/mol of atoms
Calculated total energy: -0.3502 Ry per atom

This record from the Alexandria database describes a relaxed structure of Zr3NiF. The functional is PBE+U.

Cell and atoms, written as POSCAR:
```
Zr3NiF
1.0
4.456 0.000 0.000
0.000 4.456 0.000
0.000 0.000 4.456
Ni Zr F
1 3 1
Direct
0.500 0.500 0.500
0.000 0.500 0.000
0.000 0.000 0.500
0.500 0.000 0.000
0.000 0.000 0.000
```

Calculated values
Symmetry: Pm-3m, No. 221
E above lowest polymorph: 0.0 kJ/mol of atoms
Calculated total energy: -0.4495 Ry per atom

This record from the Alexandria database describes a relaxed structure of ZrNiF6. The functional is PBE+U.

Cell and atoms, written as POSCAR:
```
ZrNiF6
1.0
5.729 0.000 0.000
2.865 4.962 0.000
2.865 1.654 4.678
Ni Zr F
1 1 6
Direct
0.500 0.500 0.500
0.000 0.000 0.000
0.251 0.251 0.749
0.749 0.749 0.251
0.251 0.749 0.251
0.749 0.251 0.749
0.251 0.749 0.749
0.749 0.251 0.251
```

Calculated values
Symmetry: Fm-3m, No. 225
Calculated total energy: -0.4359 Ry per atom

This record from the Alexandria database describes a relaxed structure of ZrNi2F. The functional is PBE+U.

Cell and atoms, written as POSCAR:
```
ZrNi2F
1.0
-3.483 -5.732 1.931
3.383 0.002 6.105
-1.669 -1.579 4.915
Ni Zr F
4 2 2
Direct
0.603 0.125 0.250
0.147 0.625 0.250
0.375 0.397 0.750
0.875 0.853 0.750
0.000 0.000 0.000
0.750 0.250 0.500
0.500 0.500 0.000
0.250 0.750 0.500
```

Calculated values
Symmetry: I-42d, No. 122
E above lowest polymorph: 0.0 kJ/mol of atoms
Calculated total energy: -0.2848 Ry per atom

This record from the Alexandria database describes a relaxed structure of ZrNi2F8. The functional is PBE+U.

Cell and atoms, written as POSCAR:
```
ZrNi2F8
1.0
-0.969 1.558 -4.504
-4.184 -3.649 0.863
-0.523 4.737 2.975
Ni Zr F
2 1 8
Direct
0.990 0.313 0.649
0.990 0.649 0.313
0.300 0.012 0.012
0.928 0.933 0.652
0.928 0.652 0.933
0.258 0.641 0.641
0.536 0.830 0.171
0.536 0.171 0.830
0.709 0.349 0.349
0.162 0.365 0.084
0.162 0.084 0.365
```

Calculated values
Symmetry: Cm, No. 8
Calculated total energy: -0.3901 Ry per atom